A plane-wave DFT calculation with PBE was carried out for crystalline KPu2InCl8 at its relaxed geometry.

```
data_KPu2InCl8
_chemical_formula_sum 'K1 Pu2 In1 Cl8'
_cell_length_a 6.8602
_cell_length_b 8.5615
_cell_length_c 7.1671
_cell_angle_alpha 90.00
_cell_angle_beta 92.53
_cell_angle_gamma 90.00
_symmetry_space_group_name_H-M 'P 1 2/m 1'
_symmetry_Int_Tables_number 10
loop_
_symmetry_equiv_pos_as_xyz
'x,y,z'
'-x,-y,-z'
'-x,y,-z'
'x,-y,z'
loop_
_atom_site_label
_atom_site_type_symbol
_atom_site_fract_x
_atom_site_fract_y
_atom_site_fract_z
_atom_site_occupancy
K1 K 0.0000 0.0000 0.0000 1
Pu1 Pu 0.5000 0.2500 0.5000 1
In1 In 0.0000 0.5000 0.0000 1
Cl1 Cl 0.2648 0.2507 0.1941 1
Cl2 Cl 0.2915 0.5000 0.6368 1
Cl3 Cl 0.2922 0.0000 0.6391 1
```

Computed properties:
VASP energy   -0.20843 hartree per atom
ρ   3.65 g/cm³
Magnetic moment   0.833 μB per atom
Volume   421 Å³/cell